DFT (GGA-PBE) results for Tl2GaSn after structural relaxation.

Properties
Formation enthalpy at 0 K (eV/f.u.): 0.6
Electronic total energy (eV/atom): -2.7822
Size of the total moment (μB per formula unit): 0.0

Cell: 4.6459 4.6459 18.9345 Å, 90.00 90.00 120.00°
Space group R3m (No. 160, hexagonal axes)
Unique sites:
Tl  0.0000  0.0000  0.0000 [3 per cell]
Tl  0.0000  0.0000  0.1855 [3 per cell]
Ga  0.0000  0.0000  0.5916 [3 per cell]
Sn  0.0000  0.0000  0.4308 [3 per cell]

***

DFT (GGA-PBE) results for Tl3Ga5Sn12 after structural relaxation.

Properties
Formation enthalpy at 0 K (eV/f.u.): 4.4
Electronic total energy (eV/atom): -3.2951
Size of the total moment (μB per formula unit): 0.0

Cell: 17.005 17.005 17.005 Å, 90.00 90.00 90.00°
Space group Ia-3d (No. 230)
Unique sites:
Tl  0.000  0.250  0.125 [24 per cell]
Ga  0.000  0.000  0.000 [16 per cell]
Ga  0.000  0.250  0.375 [24 per cell]
Sn  0.025  0.074  0.648 [96 per cell]

***

DFT (GGA-PBE) results for Tl2GaSn after structural relaxation.

Properties
Formation enthalpy at 0 K (eV/f.u.): 0.3
Electronic total energy (eV/atom): -2.8555
Size of the total moment (μB per formula unit): 0.0

Cell: 5.570 5.887 7.250 Å, 91.15 97.61 107.12°
Space group P-1 (No. 2)
Unique sites:
Tl  0.007  0.251  0.126 [2 per cell]
Tl  0.424  0.921  0.259 [2 per cell]
Ga  0.000  0.000  0.500 [1 per cell]
Ga  0.500  0.500  0.000 [1 per cell]
Sn  0.272  0.492  0.604 [2 per cell]

***

DFT (GGA-PBE) results for TlGa3Sn after structural relaxation.

Properties
Formation enthalpy at 0 K (eV/f.u.): 2.2
Electronic total energy (eV/atom): -2.6523
Size of the total moment (μB per formula unit): 0.0

Cell: 5.420 5.420 5.420 Å, 90.00 90.00 90.00°
Space group Pm-3m (No. 221)
Unique sites:
Tl  0.000  0.000  0.000 [1 per cell]
Ga  0.000  0.500  0.500 [3 per cell]
Sn  0.500  0.500  0.500 [1 per cell]

***

DFT (GGA-PBE) results for Tl4GaSn2 after structural relaxation.

Properties
Formation enthalpy at 0 K (eV/f.u.): 0.5
Electronic total energy (eV/atom): -2.8564
Size of the total moment (μB per formula unit): 0.0

Cell: 9.245 9.295 4.974 Å, 90.00 90.00 90.00°
Space group Cmmm (No. 65)
Unique sites:
Tl  0.000  0.182  0.000 [4 per cell]
Tl  0.250  0.250  0.500 [4 per cell]
Ga  0.000  0.500  0.500 [2 per cell]
Sn  0.178  0.500  0.000 [4 per cell]

***

DFT (GGA-PBE) results for Tl2GaSn after structural relaxation.

Properties
Formation enthalpy at 0 K (eV/f.u.): 0.6
Electronic total energy (eV/atom): -2.7880
Size of the total moment (μB per formula unit): 0.0

Cell: 4.496 4.496 22.284 Å, 90.00 90.00 90.00°
Space group I-42d (No. 122)
Unique sites:
Tl  0.243  0.250  0.125 [8 per cell]
Ga  0.000  0.000  0.000 [4 per cell]
Sn  0.000  0.000  0.500 [4 per cell]